Entry 1:
Compound: TeMo6
Source: Alexandria
Functional: GGA-PBE
Structure: optimized geometry

Cell: 7.4967 7.4967 7.4967 Å, 146.45 146.45 48.18°
Fractional coordinates of all 7 atoms:
1 Te 0.0000 0.0000 0.0000
2 Mo 0.2552 0.2552 0.0000
3 Mo 0.7448 0.7448 0.0000
4 Mo 0.6328 0.1328 0.5000
5 Mo 0.3672 0.8672 0.5000
6 Mo 0.8672 0.3672 0.5000
7 Mo 0.1328 0.6328 0.5000

Computed properties:
The formation energy from raw total energies comes out at 0.438 eV/atom. The calculation puts the energy above the lowest structure with this stoichiometry at 81 meV/atom. The calculation puts the total magnetization at 0.00 μB per cell.

Entry 2:
Compound: PuOs
Source: Alexandria
Functional: GGA-PBE
Structure: optimized geometry

Cell: 4.5063 5.7861 10.0475 Å, 90.00 90.00 90.00°
Last column: magnetic moment on the atom in μB.
Fractional coordinates of all 12 atoms:
1 Os 0.0000 0.7500 0.2500  -0.67
2 Os 0.0000 0.2500 0.2500  -0.67
3 Os 0.0008 0.0000 0.5000  -0.68
4 Os 0.9992 0.5000 0.0000  -0.68
5 Os 0.0000 0.7500 0.7500  -0.67
6 Os 0.0000 0.2500 0.7500  -0.67
7 Pu 0.4996 0.5000 0.8335  4.68
8 Pu 0.9991 0.0000 0.0000  4.79
9 Pu 0.0009 0.5000 0.5000  4.79
10 Pu 0.4996 0.5000 0.1665  4.68
11 Pu 0.5004 0.0000 0.3335  4.68
12 Pu 0.5004 0.0000 0.6665  4.68

Computed properties:
The calculation puts the formation enthalpy at 0 K at 55 meV/atom. The calculation puts the total magnetization at 25.65 μB per cell.

Entry 3:
Compound: Na15Hg4Pd
Source: Alexandria
Functional: GGA-PBE
Structure: optimized geometry

Cell: 4.8696 4.8696 23.5612 Å, 90.00 90.00 90.00°
Fractional coordinates of all 20 atoms:
1 Na 0.0000 0.5000 0.9129
2 Na 0.0000 0.5000 0.5000
3 Na 0.5000 0.0000 0.7054
4 Na 0.0000 0.5000 0.7054
5 Na 0.5000 0.0000 0.5000
6 Na 0.5000 0.5000 0.1915
7 Na 0.5000 0.0000 0.9129
8 Na 0.0000 0.5000 0.2946
9 Na 0.5000 0.5000 0.3969
10 Na 0.0000 0.5000 0.0871
11 Na 0.5000 0.5000 0.6031
12 Na 0.5000 0.5000 0.8085
13 Na 0.5000 0.5000 0.0000
14 Na 0.5000 0.0000 0.0871
15 Na 0.5000 0.0000 0.2946
16 Pd 0.0000 0.0000 0.0000
17 Hg 0.0000 0.0000 0.6029
18 Hg 0.0000 0.0000 0.1906
19 Hg 0.0000 0.0000 0.8094
20 Hg 0.0000 0.0000 0.3971

Computed properties:
The calculation puts the formation enthalpy at 0 K at -112 meV/atom. The calculation puts the total magnetization at 0.00 μB per cell.